<one>
Dy2TlBi | Alexandria via LeMat-Bulk | PBE | optimized geometry; SG = Cmcm (63); DOS at the Fermi energy = 4.8 states/eV per cell
1.0
2.275 -12.091 0.000
2.275 12.091 0.000
0.000 0.000 4.411
Dy Tl Bi
4 2 2
Direct
0.061 0.939 0.750
0.319 0.681 0.750
0.681 0.319 0.250
0.939 0.061 0.250
0.454 0.546 0.750
0.546 0.454 0.250
0.189 0.811 0.750
0.811 0.189 0.250

=====

<two>
Dy2TlBi | Alexandria via LeMat-Bulk | PBE | optimized geometry; SG = Fm-3m (225); DOS at the Fermi energy = 3.7 states/eV per cell
1.0
0.000 3.848 3.848
3.848 0.000 3.848
3.848 3.848 0.000
Dy Tl Bi
2 1 1
Direct
0.250 0.250 0.250
0.750 0.750 0.750
0.000 0.000 0.000
0.500 0.500 0.500

=====

<three>
Dy2TlBi | Alexandria via LeMat-Bulk | PBE | optimized geometry; SG = R-3m (166); DOS at the Fermi energy = 1.8 states/eV per cell
1.0
2.114 1.221 8.054
-2.114 1.221 8.054
0.000 -2.441 8.054
Dy Tl Bi
2 1 1
Direct
0.246 0.246 0.246
0.754 0.754 0.754
0.000 0.000 0.000
0.500 0.500 0.500

=====

Q: Which of them is the least stable? A: <two>.

=====

<one>
Dy2TlBi | Alexandria via LeMat-Bulk | PBE | optimized geometry; SG = P4/mmm (123); DOS at the Fermi energy = 3.5 states/eV per cell
1.0
4.028 0.000 0.000
0.000 4.028 0.000
0.000 0.000 6.988
Dy Tl Bi
2 1 1
Direct
0.000 0.000 0.246
0.000 0.000 0.754
0.500 0.500 0.500
0.500 0.500 0.000

=====

<two>
Dy2TlBi | Alexandria via LeMat-Bulk | PBE | optimized geometry; SG = Pnma (62); DOS at the Fermi energy = 9.4 states/eV per cell
1.0
8.331 0.000 0.000
0.000 4.171 0.000
0.000 0.000 14.347
Dy Tl Bi
8 4 4
Direct
0.189 0.250 0.237
0.195 0.750 0.995
0.305 0.250 0.495
0.311 0.750 0.737
0.689 0.250 0.263
0.695 0.750 0.505
0.805 0.250 0.005
0.811 0.750 0.763
0.045 0.750 0.584
0.455 0.250 0.084
0.545 0.750 0.916
0.955 0.250 0.416
0.070 0.250 0.842
0.430 0.750 0.342
0.570 0.250 0.658
0.930 0.750 0.158

=====

<three>
Dy2TlBi | Alexandria via LeMat-Bulk | PBE | optimized geometry; SG = R3m (160); DOS at the Fermi energy = 2.1 states/eV per cell
1.0
2.090 1.207 8.364
-2.090 1.207 8.364
0.000 -2.413 8.364
Dy Tl Bi
2 1 1
Direct
0.000 0.000 0.000
0.177 0.177 0.177
0.756 0.756 0.756
0.587 0.587 0.587

=====

Q: Which of them is the least stable? A: <three>.

=====

<one>
DyTmBi2 | Alexandria via LeMat-Bulk | PBE | optimized geometry; SG = Pmmn (59); DOS at the Fermi energy = 1.2 states/eV per cell
1.0
4.451 0.000 0.000
0.000 6.293 0.000
0.000 0.000 8.905
Dy Tm Bi
2 2 4
Direct
0.250 0.250 0.125
0.750 0.750 0.875
0.250 0.250 0.625
0.750 0.750 0.375
0.250 0.750 0.127
0.250 0.750 0.623
0.750 0.250 0.377
0.750 0.250 0.873

=====

<two>
DyTmBi2 | Alexandria via LeMat-Bulk | PBE | optimized geometry; SG = R3m (160); DOS at the Fermi energy = 0.5 states/eV per cell
1.0
2.209 1.276 7.541
-2.209 1.276 7.541
0.000 -2.551 7.541
Dy Tm Bi
1 1 2
Direct
0.000 0.000 0.000
0.830 0.830 0.830
0.246 0.246 0.246
0.418 0.418 0.418

=====

Q: Which of them is the least stable? A: <two>.

=====

<one>
DyTm2Bi | Alexandria via LeMat-Bulk | PBE | optimized geometry; SG = R3m (160); DOS at the Fermi energy = 5.6 states/eV per cell
1.0
1.811 1.046 10.663
-1.811 1.046 10.663
0.000 -2.092 10.663
Dy Tm Bi
1 2 1
Direct
0.000 0.000 0.000
0.581 0.581 0.581
0.753 0.753 0.753
0.167 0.167 0.167

=====

<two>
DyTm2Bi | Alexandria via LeMat-Bulk | PBE | optimized geometry; SG = Cmcm (63); DOS at the Fermi energy = 10.1 states/eV per cell
1.0
2.303 -11.246 0.000
2.303 11.246 0.000
0.000 0.000 4.567
Dy Tm Bi
2 4 2
Direct
0.192 0.808 0.750
0.808 0.192 0.250
0.059 0.941 0.250
0.442 0.558 0.250
0.558 0.442 0.750
0.941 0.059 0.750
0.333 0.667 0.750
0.667 0.333 0.250

=====

Q: Which of them is the least stable? A: <one>.

=====

<one>
Dy3TmBi4 | Alexandria via LeMat-Bulk | PBE | optimized geometry; SG = Pm-3m (221); DOS at the Fermi energy = 0.5 states/eV per cell
1.0
6.307 0.000 0.000
0.000 6.307 0.000
0.000 0.000 6.307
Dy Tm Bi
3 1 4
Direct
0.000 0.000 0.500
0.000 0.500 0.000
0.500 0.000 0.000
0.500 0.500 0.500
0.000 0.000 0.000
0.000 0.500 0.500
0.500 0.000 0.500
0.500 0.500 0.000

=====

<two>
Dy3TmBi4 | Alexandria via LeMat-Bulk | PBE | optimized geometry; SG = Cmmm (65); DOS at the Fermi energy = 1.2 states/eV per cell
1.0
4.461 -6.310 0.000
4.461 6.310 0.000
0.000 0.000 4.465
Dy Tm Bi
3 1 4
Direct
0.000 0.000 0.000
0.000 0.500 0.500
0.500 0.000 0.500
0.500 0.500 0.000
0.251 0.749 0.000
0.252 0.252 0.500
0.748 0.748 0.500
0.749 0.251 0.000

=====

Q: Which of them is the least stable? A: <two>.

=====

<one>
DyTm3Bi3 | Alexandria via LeMat-Bulk | PBE | optimized geometry; SG = R-3 (148); DOS at the Fermi energy = 11.4 states/eV per cell
1.0
4.502 2.599 6.240
-4.502 2.599 6.240
0.000 -5.198 6.240
Dy Tm Bi
2 6 6
Direct
0.166 0.166 0.166
0.834 0.834 0.834
0.168 0.419 0.672
0.328 0.832 0.581
0.419 0.672 0.168
0.581 0.328 0.832
0.672 0.168 0.419
0.832 0.581 0.328
0.021 0.805 0.415
0.195 0.585 0.979
0.415 0.021 0.805
0.585 0.979 0.195
0.805 0.415 0.021
0.979 0.195 0.585

=====

<two>
DyTm3Bi3 | Alexandria via LeMat-Bulk | PBE | optimized geometry; SG = P2_13 (198); DOS at the Fermi energy = 31.6 states/eV per cell
1.0
9.308 0.000 0.000
0.000 9.308 0.000
0.000 0.000 9.308
Dy Tm Bi
4 12 12
Direct
0.073 0.427 0.573
0.427 0.573 0.073
0.573 0.073 0.427
0.927 0.927 0.927
0.076 0.576 0.924
0.176 0.824 0.324
0.177 0.177 0.177
0.323 0.823 0.677
0.324 0.176 0.824
0.424 0.424 0.424
0.576 0.924 0.076
0.676 0.676 0.676
0.677 0.323 0.823
0.823 0.677 0.323
0.824 0.324 0.176
0.924 0.076 0.576
0.001 0.253 0.876
0.124 0.501 0.247
0.247 0.124 0.501
0.253 0.876 0.001
0.376 0.499 0.747
0.499 0.747 0.376
0.501 0.247 0.124
0.624 0.999 0.753
0.747 0.376 0.499
0.753 0.624 0.999
0.876 0.001 0.253
0.999 0.753 0.624

=====

Q: Which of them is the least stable? A: <one>.

=====

<one>
DyUBi2 | Alexandria via LeMat-Bulk | PBE | optimized geometry; SG = R-3m (166); DOS at the Fermi energy = 3.8 states/eV per cell
1.0
2.214 1.279 7.501
-2.214 1.279 7.501
0.000 -2.557 7.501
Dy U Bi
1 1 2
Direct
0.000 0.000 0.000
0.500 0.500 0.500
0.251 0.251 0.251
0.749 0.749 0.749

=====

<two>
DyUBi2 | Alexandria via LeMat-Bulk | PBE | optimized geometry; SG = P4/mmm (123); DOS at the Fermi energy = 6.0 states/eV per cell
1.0
5.428 0.000 0.000
0.000 5.428 0.000
0.000 0.000 3.883
Dy U Bi
1 1 2
Direct
0.000 0.000 0.000
0.500 0.500 0.000
0.000 0.500 0.500
0.500 0.000 0.500

=====

Q: Which of them is the least stable? A: <two>.

=====

<one>
DyY3Bi2 | Alexandria via LeMat-Bulk | PBE | optimized geometry; SG = P-4m2 (115); DOS at the Fermi energy = 4.9 states/eV per cell
1.0
4.562 0.000 0.000
0.000 4.562 0.000
0.000 0.000 8.625
Dy Y Bi
1 3 2
Direct
0.000 0.000 0.000
0.000 0.500 0.347
0.500 0.000 0.653
0.500 0.500 0.000
0.000 0.500 0.717
0.500 0.000 0.283

=====

<two>
DyY3Bi2 | Alexandria via LeMat-Bulk | PBE | optimized geometry; SG = C2/m (12); DOS at the Fermi energy = 12.7 states/eV per cell
1.0
8.561 -2.187 0.000
8.561 2.187 0.000
-5.728 0.000 10.763
Dy Y Bi
2 6 4
Direct
0.082 0.082 0.174
0.918 0.918 0.826
0.116 0.116 0.522
0.259 0.259 0.855
0.442 0.442 0.278
0.558 0.558 0.722
0.741 0.741 0.145
0.884 0.884 0.478
0.120 0.120 0.947
0.338 0.338 0.635
0.662 0.662 0.365
0.880 0.880 0.053

=====

Q: Which of them is the least stable? A: <two>.